[1]
Entry from Alexandria via LeMat-Bulk: crystalline TaSe at its relaxed geometry (PBE-GGA).

a = 3.2429 Å, b = 3.2429 Å, c = 8.7516 Å
α = 90.00°, β = 90.00°, γ = 120.00°
Last column: nearest neighbours and their distance in Å.
Space group P6_3mc (No. 186)
Asymmetric unit:
Ta: 0.3333 0.6667 0.0000 (multiplicity 2)  4 Se 2.57-2.62
Se: 0.3333 0.6667 0.7009 (multiplicity 2)  4 Ta 2.57-2.62

Output
N(E_F): 5.6 states/eV per cell
Formation energy without anion corrections: -194 meV per atom


[2]
Entry from Alexandria via LeMat-Bulk: crystalline PIrSCl2 at its relaxed geometry (PBE-GGA).

a = 4.7514 Å, b = 4.7514 Å, c = 4.6201 Å
α = 90.00°, β = 90.00°, γ = 90.00°
Last column: nearest neighbours and their distance in Å.
Space group P4/mmm (No. 123)
Asymmetric unit:
P: 0.0000 0.0000 0.0000 (multiplicity 1)  2 Ir 2.31
Ir: 0.0000 0.0000 0.5000 (multiplicity 1)  2 P 2.31, 4 Cl 2.38
S: 0.5000 0.5000 0.0000 (multiplicity 1)  8 Cl 3.31, 4 P 3.36
Cl: 0.0000 0.5000 0.5000 (multiplicity 2)  2 Ir 2.38

Output
N(E_F): 5.4 states/eV per cell
Formation energy without anion corrections: 639 meV per atom
Excess energy over the best structure of this formula in the dataset: 0.00 eV per formula unit


[3]
Entry from Alexandria via LeMat-Bulk: crystalline TlNiMo3 at its relaxed geometry (PBE-GGA).

a = 4.9402 Å, b = 4.9402 Å, c = 4.9402 Å
α = 90.00°, β = 90.00°, γ = 90.00°
Last column: nearest neighbours and their distance in Å.
Space group Pm-3m (No. 221)
Asymmetric unit:
Tl: 0.0000 0.0000 0.0000 (multiplicity 1)  6 Mo 2.47
Ni: 0.5000 0.5000 0.5000 (multiplicity 1)  12 Mo 3.49
Mo: 0.0000 0.0000 0.5000 (multiplicity 3)  2 Tl 2.47

Output
N(E_F): 5.7 states/eV per cell
Calculated formation energy: 2990 meV per atom
Excess energy over the best structure of this formula in the dataset: 8.71 eV per formula unit


[4]
Entry from Alexandria via LeMat-Bulk: crystalline TmPt2Pb at its relaxed geometry (PBE-GGA).

a = 4.6660 Å, b = 4.6660 Å, c = 3.7641 Å
α = 90.00°, β = 90.00°, γ = 90.00°
Last column: nearest neighbours and their distance in Å.
Space group P4/mmm (No. 123)
Asymmetric unit:
Tm: 0.0000 0.0000 0.0000 (multiplicity 1)  8 Pt 3.00, 4 Pb 3.30
Pt: 0.0000 0.5000 0.5000 (multiplicity 2)  4 Pb 3.00, 4 Tm 3.00, 4 Pt 3.30
Pb: 0.5000 0.5000 0.0000 (multiplicity 1)  8 Pt 3.00, 4 Tm 3.30

Output
N(E_F): 2.8 states/eV per cell
Calculated formation energy: -697 meV per atom


[5]
Entry from Alexandria via LeMat-Bulk: crystalline Ba2Ti2Se at its relaxed geometry (PBE-GGA).

a = 8.8447 Å, b = 8.8447 Å, c = 5.2237 Å
α = 90.00°, β = 90.00°, γ = 90.00°
Last column: nearest neighbours and their distance in Å.
Space group P4/mbm (No. 127)
Asymmetric unit:
Ba: 0.1913 0.3087 0.0000 (multiplicity 4)  2 Se 3.21
Ti: 0.0835 0.5835 0.5000 (multiplicity 4)  1 Ti 2.09
Se: 0.0000 0.0000 0.0000 (multiplicity 2)  4 Ba 3.21

Output
N(E_F): 9.6 states/eV per cell
Formation energy without anion corrections: 364 meV per atom
Excess energy over the best structure of this formula in the dataset: 3.06 eV per formula unit


[6]
Entry from Alexandria via LeMat-Bulk: crystalline Pm2Cu5Au at its relaxed geometry (PBE-GGA).

a = 4.1939 Å, b = 15.5836 Å, c = 9.0176 Å
α = 90.00°, β = 90.00°, γ = 90.00°
Last column: nearest neighbours and their distance in Å.
Space group Cmcm (No. 63)
Asymmetric unit:
Pm: 0.0000 0.0000 0.0000 (multiplicity 4)  6 Cu 2.97-3.28, 4 Au 3.21
Pm: 0.0000 0.2054 0.2500 (multiplicity 4)  11 Cu 2.92-3.16, 2 Au 3.10
Cu: 0.0000 0.1782 0.6157 (multiplicity 8)  6 Cu 2.42-2.66
Cu: 0.0000 0.3380 0.5148 (multiplicity 8)  4 Cu 2.42-2.65, 1 Au 2.66
Cu: 0.0000 0.3929 0.2500 (multiplicity 4)  6 Cu 2.54-2.66, 1 Au 2.59
Au: 0.0000 0.4409 0.7500 (multiplicity 4)  3 Cu 2.59-2.66

Output
N(E_F): 19.0 states/eV per cell
Calculated formation energy: -282 meV per atom


[7]
Entry from Alexandria via LeMat-Bulk: crystalline ErTm7Te2 at its relaxed geometry (PBE-GGA).

a = 8.8209 Å, b = 15.0035 Å, c = 5.4202 Å
α = 90.00°, β = 90.00°, γ = 90.00°
Last column: nearest neighbours and their distance in Å.
Space group Cmmm (No. 65)
Asymmetric unit:
Er: 0.0000 0.0000 0.0000 (multiplicity 2)  10 Tm 3.44-3.63
Tm: 0.0000 0.2292 0.0000 (multiplicity 4)  2 Te 2.92
Tm: 0.0000 0.5000 0.5000 (multiplicity 2)  2 Te 2.97
Tm: 0.1807 0.1208 0.5000 (multiplicity 8)  2 Te 3.04-3.15, 2 Tm 3.19-3.35
Te: 0.0000 0.3021 0.5000 (multiplicity 4)  7 Tm 2.92-3.15

Output
N(E_F): 34.3 states/eV per cell
Formation energy without anion corrections: -24 meV per atom


[8]
Entry from Alexandria via LeMat-Bulk: crystalline TlIn2Hg5 at its relaxed geometry (PBE-GGA).

a = 8.2502 Å, b = 8.2502 Å, c = 12.9696 Å
α = 90.00°, β = 90.00°, γ = 90.00°
Last column: nearest neighbours and their distance in Å.
Space group I4/mcm (No. 140)
Asymmetric unit:
Tl: 0.0000 0.0000 0.2500 (multiplicity 4)  10 Hg 3.24-3.35
In: 0.1529 0.3471 0.0000 (multiplicity 8)  8 Hg 3.13-3.26
Hg: 0.0000 0.0000 0.0000 (multiplicity 4)  4 In 3.13, 2 Tl 3.24
Hg: 0.1475 0.3525 0.3365 (multiplicity 16)  3 In 3.15-3.26, 4 Hg 3.28-3.44, 2 Tl 3.35

Output
N(E_F): 14.1 states/eV per cell
Calculated formation energy: 8 meV per atom


no.,uncorrected energy (eV/cell)
1,-31.451
2,-18.897
3,-25.690
4,-23.049
5,-42.597
6,-142.057
7,-84.773
8,-37.168